Here is an optimized crystal structure of CrOs3O from Alexandria. Energies are from PBE+U.

Summary:
D(E_F) = 4.80 states/eV/cell
total energy = -6.3776 eV per atom
theoretical density = 11.90 g/cm3
excess energy over the best structure of this formula in the dataset = 1971 meV/atom
total magnetic moment = 4.01 μB/f.u.

The structure in extended XYZ format:
```
5
Lattice="4.4668 0.0000 0.0000 0.0000 4.4668 0.0000 0.0000 0.0000 4.4668" Properties=species:S:1:pos:R:3 pbc="T T T"
Cr 0.0000 0.0000 0.0000
Os 0.0000 2.2334 0.0000
Os 2.2334 0.0000 0.0000
Os 0.0000 0.0000 2.2334
O 2.2334 2.2334 2.2334
```